[1]
# PBEsol Ho9Er3Mn2Bi4, relaxed
# Theoretical density   10.20 Mg/m³
# Energy relative to the elements   -0.410 eV per atom
# E   -0.4221 Ry/atom
data_Ho9Er3Mn2Bi4
_chemical_formula_sum 'Ho9 Er3 Mn2 Bi4'
_symmetry_space_group_name_H-M 'P 1 m 1'
_symmetry_Int_Tables_number 6
_cell_length_a 8.139
_cell_length_b 4.161
_cell_length_c 14.093
_cell_angle_alpha 90.00
_cell_angle_beta 90.01
_cell_angle_gamma 90.00
loop_
_symmetry_equiv_pos_as_xyz
'x,y,z'
'x,-y,z'
loop_
_atom_site_label
_atom_site_fract_x
_atom_site_fract_y
_atom_site_fract_z
Ho1 0.000 0.000 0.000
Ho2 0.000 0.000 0.232
Ho3 0.152 0.000 0.616
Ho4 0.188 0.500 0.420
Ho5 0.500 0.000 0.500
Ho6 0.500 0.000 0.732
Ho7 0.652 0.000 0.116
Ho8 0.688 0.500 0.312
Ho9 0.688 0.500 0.920
Er1 0.188 0.500 0.811
Er2 0.275 0.500 0.116
Er3 0.775 0.500 0.616
Mn1 0.384 0.500 0.617
Mn2 0.885 0.500 0.116
Bi1 0.383 0.000 0.949
Bi2 0.384 0.000 0.283
Bi3 0.884 0.000 0.450
Bi4 0.884 0.000 0.783

[2]
# PBEsol Ho3Er9Mn2Bi4, relaxed
# Theoretical density   10.31 Mg/m³
# Energy relative to the elements   -0.411 eV per atom
# E   -0.4216 Ry/atom
data_Ho3Er9Mn2Bi4
_chemical_formula_sum 'Ho3 Er9 Mn2 Bi4'
_symmetry_space_group_name_H-M 'P 1 m 1'
_symmetry_Int_Tables_number 6
_cell_length_a 8.116
_cell_length_b 4.154
_cell_length_c 14.068
_cell_angle_alpha 90.00
_cell_angle_beta 90.02
_cell_angle_gamma 90.00
loop_
_symmetry_equiv_pos_as_xyz
'x,y,z'
'x,-y,z'
loop_
_atom_site_label
_atom_site_fract_x
_atom_site_fract_y
_atom_site_fract_z
Ho1 0.000 0.000 0.000
Ho2 0.152 0.000 0.384
Ho3 0.652 0.000 0.884
Er1 0.000 0.000 0.768
Er2 0.189 0.500 0.189
Er3 0.189 0.500 0.579
Er4 0.274 0.500 0.884
Er5 0.500 0.000 0.268
Er6 0.500 0.000 0.500
Er7 0.688 0.500 0.080
Er8 0.689 0.500 0.689
Er9 0.774 0.500 0.384
Mn1 0.385 0.500 0.384
Mn2 0.885 0.500 0.884
Bi1 0.384 0.000 0.051
Bi2 0.384 0.000 0.717
Bi3 0.884 0.000 0.218
Bi4 0.884 0.000 0.551

[3]
# PBEsol Er5Ni2Bi, relaxed
# Theoretical density   10.41 Mg/m³
# Energy relative to the elements   -0.482 eV per atom
# E   -0.4143 Ry/atom
data_Er5Ni2Bi
_chemical_formula_sum 'Er20 Ni8 Bi4'
_symmetry_space_group_name_H-M 'I 4/m c m'
_symmetry_Int_Tables_number 140
_symmetry_space_group_name_Hall '-I 4 2c'
_cell_length_a 7.482
_cell_length_b 7.482
_cell_length_c 13.247
_cell_angle_alpha 90.00
_cell_angle_beta 90.00
_cell_angle_gamma 90.00
loop_
_atom_site_label
_atom_site_fract_x
_atom_site_fract_y
_atom_site_fract_z
Er1 0.000 0.000 0.000
Er2 0.156 0.344 0.133
Ni1 0.131 0.369 0.500
Bi1 0.000 0.000 0.250